{"formula": "NaCd4Bi2", "functional": "PBE-GGA", "state": "relaxed", "e_tot_ev_per_atom": -1.84, "ef_ev_per_fu": -0.1, "polymorph_energy_ev_per_atom": 0.038, "lattice": [[2.7159, 1.5681, 7.9378], [-2.7159, 1.5681, 7.9378], [0.0000, -3.1361, 7.9378]], "species": ["Na", "Cd", "Cd", "Cd", "Cd", "Bi", "Bi"], "fractional_positions": [[0.0000, 0.0000, 0.0000], [0.1288, 0.1288, 0.1288], [0.4353, 0.4353, 0.4353], [0.5647, 0.5647, 0.5647], [0.8712, 0.8712, 0.8712], [0.2536, 0.2536, 0.2536], [0.7464, 0.7464, 0.7464]]}